Record 1
Below is a relaxed structure of TbPr12Y5, with properties calculated at the PBE-GGA level.

Cell lengths 15.513, 10.993, 5.201 Å; angles 90.00, 90.00, 45.20 degrees
Fractional coordinates of all 18 atoms:
Pr (0.666, 0.000, 0.000)
Y (0.333, 0.333, 0.000)
Y (0.167, 0.667, 0.500)
Pr (0.168, 0.333, 0.500)
Pr (0.833, 0.667, 0.500)
Tb (0.000, 0.000, 0.000)
Pr (0.499, 0.333, 0.500)
Pr (0.001, 0.667, 0.000)
Pr (0.332, 0.667, 0.000)
Pr (0.999, 0.333, 0.000)
Pr (0.334, 0.000, 0.000)
Pr (0.165, 0.000, 0.500)
Y (0.500, 0.000, 0.500)
Pr (0.668, 0.333, 0.000)
Pr (0.501, 0.667, 0.500)
Pr (0.835, 0.000, 0.500)
Y (0.667, 0.667, 0.000)
Y (0.833, 0.333, 0.500)

Summary:
Fermi-level density of states, states/eV/f.u.: 29.58
Crystal system: monoclinic

---

Record 2
Below is a relaxed structure of TbPr2Y, with properties calculated at the PBE-GGA level.

Cell lengths 5.856, 7.365, 7.365 Å; angles 119.51, 90.00, 90.00 degrees
Fractional coordinates of all 8 atoms:
Y (0.250, 0.417, 0.583)
Pr (0.250, 0.917, 0.585)
Pr (0.750, 0.585, 0.917)
Pr (0.750, 0.083, 0.415)
Tb (0.750, 0.083, 0.917)
Tb (0.250, 0.917, 0.083)
Pr (0.250, 0.415, 0.083)
Y (0.750, 0.583, 0.417)

Summary:
Fermi-level density of states, states/eV/f.u.: 7.06
Crystal system: orthorhombic
Excess energy over the best structure of this formula in the dataset, meV/atom: 13.8

---

Record 3
Below is a relaxed structure of TbPr4Y15, with properties calculated at the PBE-GGA level.

Cell lengths 5.097, 5.097, 25.372 Å; angles 90.00, 90.00, 90.00 degrees
Fractional coordinates of all 20 atoms:
Y (0.500, 0.000, 0.299)
Y (0.000, 0.500, 0.701)
Y (0.500, 0.500, 0.199)
Y (0.500, 0.500, 0.801)
Y (0.500, 0.500, 0.600)
Y (0.500, 0.500, 0.400)
Y (0.500, 0.000, 0.902)
Y (0.500, 0.000, 0.098)
Y (0.500, 0.000, 0.701)
Y (0.000, 0.500, 0.500)
Pr (0.000, 0.000, 0.600)
Y (0.500, 0.500, 0.000)
Tb (0.000, 0.000, 0.000)
Y (0.000, 0.500, 0.902)
Y (0.000, 0.500, 0.098)
Pr (0.000, 0.000, 0.199)
Pr (0.000, 0.000, 0.801)
Y (0.000, 0.500, 0.299)
Pr (0.000, 0.000, 0.400)
Y (0.500, 0.000, 0.500)

Summary:
Fermi-level density of states, states/eV/f.u.: 29.70
Crystal system: tetragonal

---

Record 4
Below is a relaxed structure of Tb3Pr2Y6, with properties calculated at the PBE-GGA level.

Cell lengths 6.165, 6.171, 11.780 Å; angles 84.97, 79.88, 60.03 degrees
Fractional coordinates of all 11 atoms:
Y (0.416, 0.667, 0.753)
Y (0.917, 0.667, 0.247)
Y (0.083, 0.333, 0.753)
Tb (0.665, 0.671, 0.000)
Pr (0.833, 0.334, 0.500)
Y (0.584, 0.333, 0.247)
Pr (0.167, 0.666, 0.500)
Tb (0.335, 0.329, 0.000)
Y (0.251, 0.000, 0.247)
Tb (0.000, 0.000, 0.000)
Y (0.749, 0.000, 0.753)

Summary:
Fermi-level density of states, states/eV/f.u.: 18.36
Crystal system: monoclinic
Excess energy over the best structure of this formula in the dataset, meV/atom: 0.0

---

Record 5
Below is a relaxed structure of Tb8Pr3Y, with properties calculated at the PBE-GGA level.

Cell lengths 8.441, 8.441, 8.441 Å; angles 94.89, 117.22, 117.22 degrees
Fractional coordinates of all 12 atoms:
Tb (0.000, 0.756, 0.252)
Tb (0.000, 0.252, 0.756)
Pr (0.000, 0.500, 0.500)
Tb (0.749, 0.123, 0.123)
Tb (0.504, 0.748, 0.748)
Pr (0.500, 0.750, 0.250)
Tb (0.496, 0.244, 0.244)
Tb (0.000, 0.626, 0.877)
Tb (0.251, 0.374, 0.374)
Pr (0.500, 0.250, 0.750)
Tb (0.000, 0.877, 0.626)
Y (0.000, 0.000, 0.000)

Summary:
Fermi-level density of states, states/eV/f.u.: 18.19
Crystal system: tetragonal

---

Record 6
Below is a relaxed structure of Tb7Pr2Y2, with properties calculated at the PBE-GGA level.

Cell lengths 6.090, 8.673, 8.673 Å; angles 83.05, 63.84, 63.84 degrees
Fractional coordinates of all 11 atoms:
Tb (0.177, 0.591, 0.059)
Pr (0.127, 0.233, 0.233)
Tb (0.371, 0.413, 0.413)
Tb (0.629, 0.587, 0.587)
Tb (0.177, 0.059, 0.591)
Pr (0.873, 0.767, 0.767)
Y (0.500, 0.218, 0.782)
Tb (0.823, 0.409, 0.941)
Y (0.500, 0.782, 0.218)
Tb (0.823, 0.941, 0.409)
Tb (0.000, 0.000, 0.000)

Summary:
Fermi-level density of states, states/eV/f.u.: 17.44
Crystal system: monoclinic
Excess energy over the best structure of this formula in the dataset, meV/atom: 72.0

---

Record 7
Below is a relaxed structure of Tb5Pr12Y2, with properties calculated at the PBE-GGA level.

Cell lengths 7.631, 10.439, 10.113 Å; angles 64.88, 90.00, 111.44 degrees
Fractional coordinates of all 19 atoms:
Pr (0.598, 0.671, 0.495)
Pr (0.591, 0.680, 0.848)
Pr (0.927, 0.329, 0.505)
Pr (0.402, 0.329, 0.505)
Pr (0.409, 0.320, 0.152)
Tb (0.000, 0.000, 0.500)
Tb (0.824, 0.649, 0.172)
Tb (0.680, 0.361, 0.805)
Tb (0.176, 0.351, 0.828)
Pr (0.911, 0.320, 0.152)
Tb (0.320, 0.639, 0.195)
Pr (0.491, 0.982, 0.333)
Y (0.300, 0.000, 0.000)
Pr (0.004, 0.007, 0.790)
Pr (0.996, 0.993, 0.210)
Pr (0.073, 0.671, 0.495)
Pr (0.509, 0.018, 0.667)
Pr (0.089, 0.680, 0.848)
Y (0.700, 0.000, 0.000)

Summary:
Fermi-level density of states, states/eV/f.u.: 30.97
Crystal system: monoclinic
Excess energy over the best structure of this formula in the dataset, meV/atom: 41.2

---

Record 8
Below is a relaxed structure of Tb6PrY, with properties calculated at the PBE-GGA level.

Cell lengths 5.071, 5.071, 10.121 Å; angles 90.00, 90.00, 90.00 degrees
Fractional coordinates of all 8 atoms:
Tb (0.000, 0.500, 0.748)
Tb (0.000, 0.500, 0.252)
Tb (0.500, 0.500, 0.000)
Y (0.000, 0.000, 0.500)
Tb (0.500, 0.000, 0.252)
Tb (0.500, 0.000, 0.748)
Pr (0.000, 0.000, 0.000)
Tb (0.500, 0.500, 0.500)

Summary:
Fermi-level density of states, states/eV/f.u.: 12.61
Crystal system: tetragonal
Excess energy over the best structure of this formula in the dataset, meV/atom: 6.7

---

Record 9
Below is a relaxed structure of Tb2Pr12Y, with properties calculated at the PBE-GGA level.

Cell lengths 6.625, 6.625, 25.823 Å; angles 90.00, 90.00, 90.00 degrees
Fractional coordinates of all 30 atoms:
Tb (0.500, 0.000, 0.271)
Pr (0.832, 0.668, 0.437)
Pr (0.832, 0.332, 0.563)
Pr (0.817, 0.317, 0.114)
Pr (0.317, 0.183, 0.114)
Pr (0.183, 0.683, 0.114)
Pr (0.668, 0.168, 0.437)
Pr (0.000, 0.000, 0.215)
Y (0.000, 0.500, 0.000)
Tb (0.500, 0.000, 0.729)
Pr (0.500, 0.500, 0.337)
Y (0.500, 0.000, 0.000)
Pr (0.500, 0.500, 0.785)
Pr (0.000, 0.000, 0.785)
Pr (0.317, 0.817, 0.886)
Pr (0.500, 0.500, 0.215)
Pr (0.332, 0.832, 0.437)
Pr (0.168, 0.332, 0.437)
Pr (0.817, 0.683, 0.886)
Tb (0.000, 0.500, 0.729)
Pr (0.000, 0.000, 0.337)
Pr (0.683, 0.183, 0.886)
Pr (0.332, 0.168, 0.563)
Pr (0.000, 0.000, 0.663)
Pr (0.668, 0.832, 0.563)
Pr (0.168, 0.668, 0.563)
Tb (0.000, 0.500, 0.271)
Pr (0.683, 0.817, 0.114)
Pr (0.500, 0.500, 0.663)
Pr (0.183, 0.317, 0.886)

Summary:
Fermi-level density of states, states/eV/f.u.: 19.98
Crystal system: tetragonal

---

Record 10
Below is a relaxed structure of Tb3Pr3Y2, with properties calculated at the PBE-GGA level.

Cell lengths 6.357, 5.808, 14.735 Å; angles 90.00, 90.00, 90.00 degrees
Fractional coordinates of all 16 atoms:
Tb (0.666, 0.250, 0.999)
Tb (0.326, 0.750, 0.250)
Tb (0.334, 0.750, 0.499)
Pr (0.171, 0.250, 0.624)
Pr (0.829, 0.750, 0.124)
Tb (0.334, 0.750, 0.001)
Y (0.165, 0.250, 0.376)
Pr (0.829, 0.750, 0.376)
Pr (0.171, 0.250, 0.876)
Y (0.835, 0.750, 0.624)
Tb (0.674, 0.250, 0.750)
Tb (0.666, 0.250, 0.501)
Pr (0.340, 0.750, 0.750)
Y (0.165, 0.250, 0.124)
Y (0.835, 0.750, 0.876)
Pr (0.660, 0.250, 0.250)

Summary:
Fermi-level density of states, states/eV/f.u.: 14.81
Crystal system: orthorhombic
Excess energy over the best structure of this formula in the dataset, meV/atom: 5.2

---

Record 11
Below is a relaxed structure of Tb3Pr2Y8, with properties calculated at the PBE-GGA level.

Cell lengths 5.680, 6.878, 12.052 Å; angles 106.58, 103.57, 90.00 degrees
Fractional coordinates of all 13 atoms:
Tb (0.000, 0.735, 0.000)
Y (0.679, 0.178, 0.357)
Pr (0.724, 0.724, 0.447)
Y (0.850, 0.109, 0.700)
Y (0.575, 0.575, 0.150)
Y (0.850, 0.591, 0.700)
Y (0.150, 0.409, 0.300)
Pr (0.276, 0.276, 0.553)
Tb (0.000, 0.265, 0.000)
Tb (0.500, 0.000, 0.000)
Y (0.321, 0.822, 0.643)
Y (0.425, 0.425, 0.850)
Y (0.150, 0.891, 0.300)

Summary:
Fermi-level density of states, states/eV/f.u.: 22.26
Crystal system: monoclinic
Excess energy over the best structure of this formula in the dataset, meV/atom: 0.0

---

Record 12
Below is a relaxed structure of Tb2Pr5Y4, with properties calculated at the PBE-GGA level.

Cell lengths 3.567, 9.257, 12.879 Å; angles 111.06, 97.96, 90.00 degrees
Fractional coordinates of all 11 atoms:
Pr (0.500, 0.000, 0.000)
Pr (0.853, 0.054, 0.706)
Y (0.000, 0.687, 0.000)
Pr (0.853, 0.652, 0.706)
Pr (0.147, 0.946, 0.294)
Y (0.000, 0.313, 0.000)
Tb (0.731, 0.731, 0.462)
Y (0.403, 0.403, 0.805)
Pr (0.147, 0.348, 0.294)
Y (0.597, 0.597, 0.195)
Tb (0.269, 0.269, 0.538)

Summary:
Fermi-level density of states, states/eV/f.u.: 18.31
Crystal system: orthorhombic
Excess energy over the best structure of this formula in the dataset, meV/atom: 131.5

---

Record 13
Below is a relaxed structure of Tb7PrY12, with properties calculated at the PBE-GGA level.

Cell lengths 8.737, 8.737, 8.737 Å; angles 95.30, 95.30, 95.30 degrees
Fractional coordinates of all 20 atoms:
Tb (0.982, 0.918, 0.647)
Y (0.750, 0.318, 0.188)
Y (0.682, 0.812, 0.250)
Y (0.812, 0.250, 0.682)
Y (0.250, 0.682, 0.812)
Y (0.523, 0.853, 0.586)
Y (0.188, 0.750, 0.318)
Y (0.586, 0.523, 0.853)
Tb (0.500, 0.500, 0.500)
Pr (0.000, 0.000, 0.000)
Tb (0.082, 0.353, 0.018)
Tb (0.353, 0.018, 0.082)
Y (0.147, 0.414, 0.477)
Tb (0.018, 0.082, 0.353)
Y (0.414, 0.477, 0.147)
Y (0.318, 0.188, 0.750)
Tb (0.647, 0.982, 0.918)
Y (0.477, 0.147, 0.414)
Tb (0.918, 0.647, 0.982)
Y (0.853, 0.586, 0.523)

Summary:
Fermi-level density of states, states/eV/f.u.: 18.26
Crystal system: trigonal
Excess energy over the best structure of this formula in the dataset, meV/atom: 0.0

---

Record 14
Below is a relaxed structure of Tb5PrY5, with properties calculated at the PBE-GGA level.

Cell lengths 6.131, 6.131, 11.507 Å; angles 90.00, 90.00, 120.00 degrees
Fractional coordinates of all 11 atoms:
Tb (0.337, 0.169, 0.500)
Y (0.667, 0.333, 0.838)
Tb (0.831, 0.169, 0.500)
Y (0.667, 0.333, 0.162)
Tb (0.831, 0.663, 0.500)
Tb (0.000, 0.000, 0.266)
Y (0.333, 0.667, 0.672)
Y (0.333, 0.667, 0.328)
Tb (0.000, 0.000, 0.734)
Y (0.000, 0.000, 0.000)
Pr (0.333, 0.667, 0.000)

Summary:
Fermi-level density of states, states/eV/f.u.: 19.12
Crystal system: hexagonal
Excess energy over the best structure of this formula in the dataset, meV/atom: 0.0

---

Record 15
Below is a relaxed structure of Tb2Pr2Y, with properties calculated at the PBE-GGA level.

Cell lengths 6.390, 8.625, 9.731 Å; angles 43.49, 70.83, 68.26 degrees
Fractional coordinates of all 10 atoms:
Pr (0.787, 0.754, 0.846)
Pr (0.613, 0.254, 0.346)
Tb (0.821, 0.243, 0.951)
Tb (0.015, 0.257, 0.549)
Y (0.415, 0.250, 0.750)
Pr (0.213, 0.246, 0.154)
Tb (0.179, 0.757, 0.049)
Tb (0.985, 0.743, 0.451)
Y (0.585, 0.750, 0.250)
Pr (0.387, 0.746, 0.654)

Summary:
Fermi-level density of states, states/eV/f.u.: 8.84
Crystal system: monoclinic
Excess energy over the best structure of this formula in the dataset, meV/atom: 0.0

---

Record 16
Below is a relaxed structure of Tb6Pr2Y, with properties calculated at the PBE-GGA level.

Cell lengths 3.518, 9.834, 10.453 Å; angles 118.06, 70.36, 90.00 degrees
Fractional coordinates of all 9 atoms:
Pr (0.667, 0.667, 0.333)
Tb (0.830, 0.669, 0.669)
Pr (0.333, 0.333, 0.667)
Tb (0.170, 0.331, 0.331)
Tb (0.500, 0.669, 0.000)
Tb (0.830, 0.000, 0.669)
Tb (0.500, 0.331, 0.000)
Tb (0.170, 0.000, 0.331)
Y (0.000, 0.000, 0.000)

Summary:
Fermi-level density of states, states/eV/f.u.: 13.28
Crystal system: orthorhombic
Excess energy over the best structure of this formula in the dataset, meV/atom: 0.0

---

Record 17
Below is a relaxed structure of Tb6Pr4Y, with properties calculated at the PBE-GGA level.

Cell lengths 7.738, 7.738, 8.593 Å; angles 116.76, 116.76, 90.00 degrees
Fractional coordinates of all 11 atoms:
Pr (0.099, 0.747, 0.846)
Y (0.500, 0.500, 0.000)
Pr (0.253, 0.253, 0.154)
Tb (0.445, 0.925, 0.370)
Tb (0.925, 0.445, 0.370)
Pr (0.747, 0.099, 0.846)
Tb (0.000, 0.500, 0.000)
Tb (0.075, 0.075, 0.630)
Tb (0.500, 0.000, 0.000)
Pr (0.901, 0.901, 0.154)
Tb (0.555, 0.555, 0.630)

Summary:
Fermi-level density of states, states/eV/f.u.: 14.11
Crystal system: tetragonal
Excess energy over the best structure of this formula in the dataset, meV/atom: 137.1

---

Record 18
Below is a relaxed structure of Tb6Pr5Y, with properties calculated at the PBE-GGA level.

Cell lengths 6.256, 7.279, 9.614 Å; angles 67.68, 89.45, 89.94 degrees
Fractional coordinates of all 12 atoms:
Y (0.000, 0.000, 0.000)
Pr (0.000, 0.500, 0.000)
Pr (0.334, 0.333, 0.333)
Tb (0.167, 0.416, 0.668)
Tb (0.833, 0.084, 0.332)
Pr (0.667, 0.166, 0.669)
Pr (0.333, 0.834, 0.331)
Tb (0.833, 0.584, 0.332)
Pr (0.666, 0.667, 0.667)
Tb (0.167, 0.916, 0.668)
Tb (0.500, 0.751, 0.000)
Tb (0.500, 0.249, 0.000)

Summary:
Fermi-level density of states, states/eV/f.u.: 16.76
Crystal system: triclinic
Excess energy over the best structure of this formula in the dataset, meV/atom: 3.9

---

Record 19
Below is a relaxed structure of Tb4PrY, with properties calculated at the PBE-GGA level.

Cell lengths 6.629, 6.629, 6.629 Å; angles 60.00, 60.00, 60.00 degrees
Fractional coordinates of all 6 atoms:
Tb (0.625, 0.124, 0.625)
Tb (0.124, 0.625, 0.625)
Tb (0.625, 0.625, 0.124)
Tb (0.625, 0.625, 0.625)
Y (0.000, 0.000, 0.000)
Pr (0.250, 0.250, 0.250)

Summary:
Fermi-level density of states, states/eV/f.u.: 11.25
Crystal system: cubic
Excess energy over the best structure of this formula in the dataset, meV/atom: 235.3

---

Q: Which M_tot values were calculated for the entries above? A: 0.000 0.000 0.000 0.000 0.000 0.000 0.000 0.000 0.000 0.000 0.000 0.000 0.000 0.000 0.000 0.000 0.000 0.000 0.105, in μB/atom.
Q: Which formation enthalpy at 0 K values were calculated for the entries above? A: 0.02 0.02 0.02 0.18 0.61 0.15 0.17 0.02 0.32 0.03 0.16 0.20 0.28 0.29 0.02 0.06 0.43 0.02 0.25, in eV per atom.
Q: Which E values were calculated for the entries above? A: -5.22 -5.14 -6.01 -5.48 -4.21 -4.84 -4.75 -4.86 -4.56 -5.12 -5.62 -5.16 -5.45 -5.18 -5.03 -4.80 -4.42 -4.83 -4.71, in eV per atom.